1.
This record from Alexandria describes a relaxed structure of Pm3Sm3Sc. The functional is PBE-GGA.

Properties
Calculated density   6.55 g cm⁻³
Formation energy   0.174 eV/atom
Density of states at the Fermi level   1.60 states/eV/atom
E   -33.521 eV/f.u.
ΔE to the lowest computed polymorph   0.94 eV per formula unit
Size of the total moment   0.00 μB/cell

Cell: 11.6314 11.2559 7.2112 Å, 90.00 90.02 90.00°
Last column: nearest neighbours and their distance in Å.
Space group C2/m (No. 12)
Asymmetric unit:
Pm 0.0000 0.1885 0.0000 [4 per cell]  4 Sm 3.46-3.47, 2 Sc 3.47, 2 Pm 3.62
Pm 0.0000 0.2138 0.5000 [4 per cell]  6 Sm 3.47-3.71, 4 Pm 3.52-3.62
Pm 0.2203 0.0000 0.5001 [4 per cell]  6 Sm 3.38-3.74, 2 Pm 3.52, 2 Sc 3.61
Sm 0.9999 0.5000 0.2448 [4 per cell]  2 Sm 3.53-3.68, 2 Sc 3.54, 6 Pm 3.71-3.93
Sm 0.2504 0.2495 0.2433 [8 per cell]  2 Sc 3.32, 6 Pm 3.38-3.48, 2 Sm 3.51-3.70
Sc 0.2364 0.0000 0.9997 [4 per cell]  6 Sm 3.32-3.54, 4 Pm 3.47-3.61

2.
This record from Alexandria describes a relaxed structure of Pm8Sm2Sc. The functional is PBE-GGA.

Properties
Calculated density   6.82 g cm⁻³
Formation energy   0.027 eV/atom
Density of states at the Fermi level   1.52 states/eV/atom
E   -53.482 eV/f.u.
ΔE to the lowest computed polymorph   0.00 eV per formula unit
Size of the total moment   0.00 μB/cell

Cell: 18.3960 5.1153 8.0758 Å, 90.00 105.27 90.00°
Last column: nearest neighbours and their distance in Å.
Space group C2/m (No. 12)
Asymmetric unit:
Pm 0.0448 0.0000 0.2311 [4 per cell]  9 Pm 3.56-3.67, 2 Sc 3.59, 1 Sm 3.61
Pm 0.0896 0.5000 0.9474 [4 per cell]  1 Sc 3.55, 8 Pm 3.59-3.67, 3 Sm 3.62-3.63
Pm 0.1348 0.0000 0.6784 [4 per cell]  7 Pm 3.56-3.66, 2 Sc 3.59, 3 Sm 3.63-3.65
Pm 0.1800 0.5000 0.4098 [4 per cell]  1 Sc 3.57, 8 Pm 3.59-3.67, 3 Sm 3.62-3.63
Sm 0.2260 0.0000 0.1355 [4 per cell]  10 Pm 3.61-3.65, 2 Sm 3.62
Sc 0.0000 0.5000 0.5000 [2 per cell]  12 Pm 3.55-3.59

Question: Look up the ΔE to the lowest computed polymorph of the first one.
Answer: 0.94 eV per formula unit

Question: Which of these has the lowest density of states at the Fermi level?
Answer: Pm8Sm2Sc

Question: Which of these has the highest E?
Answer: Pm3Sm3Sc